An optimized crystal structure of Sr3FeF. Source: Alexandria, functional PBE+U.

Results
Magnetization   2.83 Bohr magnetons per cell
Energy   -3.00 eV/atom

a = 5.335 Å, b = 5.335 Å, c = 5.335 Å
α = 90.00°, β = 90.00°, γ = 90.00°
Space group Pm-3m (No. 221)
Inequivalent atoms, fractional coordinates:
1 Sr 0.000 0.000 0.500
2 Fe 0.500 0.500 0.500
3 F 0.000 0.000 0.000